No. 1
A relaxed structure of YCrIr. Source: the Alexandria database, functional PBE-GGA.

extended XYZ file:
```
3
Lattice="-1.5286 1.5286 5.7699 1.5286 -1.5286 5.7699 1.5286 1.5286 -5.7699" Properties=species:S:1:pos:R:3 pbc="T T T"
Y 0.0000 0.0000 0.0000
Cr 0.0000 0.0000 3.5290
Ir 0.0000 0.0000 8.0837
```

## Properties
E, eV per atom: -8.34

***

No. 2
A relaxed structure of Rb2As2Pd. Source: the Alexandria database, functional PBE-GGA.

extended XYZ file:
```
10
Lattice="3.4235 -7.4694 0.0000 3.4235 7.4694 0.0000 0.0000 0.0000 6.2631" Properties=species:S:1:pos:R:3 pbc="T T T"
Rb 3.4235 6.2473 4.6974
Rb 3.4235 3.0987 1.5658
Rb 3.4235 -3.0987 4.6974
Rb 3.4235 -6.2473 1.5658
As 2.2048 1.5859 4.6974
As 2.2048 -1.5859 1.5658
As 4.6421 1.5859 4.6974
As 4.6421 -1.5859 1.5658
Pd 3.4235 0.0000 0.0000
Pd 3.4235 0.0000 3.1316
```

## Properties
E, eV per atom: -3.79

***

No. 3
A relaxed structure of MnTlP2Au. Source: the Alexandria database, functional PBE-GGA.

extended XYZ file:
```
5
Lattice="5.0751 0.0000 0.0000 0.0000 5.0751 0.0000 0.0000 0.0000 5.1497" Properties=species:S:1:pos:R:3 pbc="T T T"
Mn 0.0000 0.0000 0.0000
Tl 2.5375 2.5375 2.5749
P 0.0000 2.5375 2.5749
P 2.5375 0.0000 2.5749
Au 2.5375 2.5375 0.0000
```

## Properties
E, eV per atom: -3.14

***

No. 4
A relaxed structure of Li2NbGeH. Source: the Alexandria database, functional PBE-GGA.

extended XYZ file:
```
5
Lattice="4.9382 0.0000 0.0000 0.0000 4.9382 0.0000 0.0000 0.0000 3.3314" Properties=species:S:1:pos:R:3 pbc="T T T"
Li 0.0000 2.4691 0.0000
Li 2.4691 0.0000 0.0000
Nb 0.0000 0.0000 1.6657
Ge 2.4691 2.4691 0.0000
H 2.4691 2.4691 1.6657
```

## Properties
E, eV per atom: -3.60